[1]
# PBE TbPaCu2, optimized geometry
# * calculated volume: 257.1 Å³ per cell
# * relative energy among the computed polymorphs: 195 meV/atom
# * formation energy from the elements: 0.20 eV per atom
data_TbPaCu2
_chemical_formula_sum 'Tb3 Pa3 Cu6'
_space_group_name_H-M_alt 'R -3 m'
_space_group_IT_number 166
_space_group_name_Hall '-R 3 2"'
_cell_length_a 3.3624
_cell_length_b 3.3624
_cell_length_c 26.2622
_cell_angle_alpha 90.00
_cell_angle_beta 90.00
_cell_angle_gamma 120.00
loop_
_atom_site_label
_atom_site_type_symbol
_atom_site_fract_x
_atom_site_fract_y
_atom_site_fract_z
Tb1 Tb 0.0000 0.0000 0.0000
Pa1 Pa 0.0000 0.0000 0.5000
Cu1 Cu 0.0000 0.0000 0.2505


[2]
# PBE ErPaCd2, optimized geometry
# * calculated volume: 98.2 Å³ per cell
# * formation energy from the elements: -0.03 eV per atom
data_ErPaCd2
_chemical_formula_sum 'Er1 Pa1 Cd2'
_space_group_name_H-M_alt 'P 4/m m m'
_space_group_IT_number 123
_space_group_name_Hall '-P 4 2'
_cell_length_a 3.2509
_cell_length_b 3.2509
_cell_length_c 9.2925
_cell_angle_alpha 90.00
_cell_angle_beta 90.00
_cell_angle_gamma 90.00
loop_
_atom_site_label
_atom_site_type_symbol
_atom_site_fract_x
_atom_site_fract_y
_atom_site_fract_z
Er1 Er 0.0000 0.0000 0.0000
Pa1 Pa 0.0000 0.0000 0.5000
Cd1 Cd 0.5000 0.5000 0.2432


[3]
# PBE Sr6Ag2Ir, optimized geometry
# * calculated volume: 695.7 Å³ per cell
# * formation energy from the elements: -0.23 eV per atom
data_Sr6Ag2Ir
_chemical_formula_sum 'Sr12 Ag4 Ir2'
_space_group_name_H-M_alt 'P 1 21/c 1'
_space_group_IT_number 14
_cell_length_a 7.4290
_cell_length_b 8.5169
_cell_length_c 13.2084
_cell_angle_alpha 90.00
_cell_angle_beta 123.65
_cell_angle_gamma 90.00
loop_
_space_group_symop_operation_xyz
'x,y,z'
'-x,-y,-z'
'-x,y+1/2,-z+1/2'
'x,-y+1/2,z+1/2'
loop_
_atom_site_label
_atom_site_type_symbol
_atom_site_fract_x
_atom_site_fract_y
_atom_site_fract_z
Sr1 Sr 0.1109 0.0372 0.2473
Sr2 Sr 0.2179 0.6932 0.0620
Sr3 Sr 0.3891 0.1684 0.0612
Ag1 Ag 0.2994 0.1138 0.7452
Ir1 Ir 0.0000 0.0000 0.0000


[4]
# PBE KLiCd2, optimized geometry
# * calculated volume: 336.3 Å³ per cell
# * relative energy among the computed polymorphs: 163 meV/atom
# * formation energy from the elements: 0.05 eV per atom
data_KLiCd2
_chemical_formula_sum 'K3 Li3 Cd6'
_space_group_name_H-M_alt 'R -3 m'
_space_group_IT_number 166
_space_group_name_Hall '-R 3 2"'
_cell_length_a 3.5030
_cell_length_b 3.5030
_cell_length_c 31.6503
_cell_angle_alpha 90.00
_cell_angle_beta 90.00
_cell_angle_gamma 120.00
loop_
_atom_site_label
_atom_site_type_symbol
_atom_site_fract_x
_atom_site_fract_y
_atom_site_fract_z
K1 K 0.0000 0.0000 0.0000
Li1 Li 0.0000 0.0000 0.5000
Cd1 Cd 0.0000 0.0000 0.2356


[5]
# PBE BSb2Au, optimized geometry
# * formation energy from raw total energies: 0.292 eV/atom
# * calculated volume: 373.9 Å³ per cell
data_BSb2Au
_chemical_formula_sum 'B4 Sb8 Au4'
_space_group_name_H-M_alt 'I -4 2 d'
_space_group_IT_number 122
_space_group_name_Hall 'I -4 2bw'
_cell_length_a 5.9889
_cell_length_b 5.9889
_cell_length_c 10.4250
_cell_angle_alpha 90.00
_cell_angle_beta 90.00
_cell_angle_gamma 90.00
loop_
_atom_site_label
_atom_site_type_symbol
_atom_site_fract_x
_atom_site_fract_y
_atom_site_fract_z
B1 B 0.0000 0.0000 0.0000
Sb1 Sb 0.1944 0.2500 0.1250
Au1 Au 0.0000 0.0000 0.5000


[6]
# PBE ZrNp6S8, optimized geometry
# * formation energy from raw total energies: -1.424 eV/atom
# * calculated volume: 1308.8 Å³ per cell
data_ZrNp6S8
_chemical_formula_sum 'Zr4 Np24 S32'
_space_group_name_H-M_alt 'F m -3 m'
_space_group_IT_number 225
_space_group_name_Hall '-F 4 2 3'
_cell_length_a 10.9384
_cell_length_b 10.9384
_cell_length_c 10.9384
_cell_angle_alpha 90.00
_cell_angle_beta 90.00
_cell_angle_gamma 90.00
loop_
_atom_site_label
_atom_site_type_symbol
_atom_site_fract_x
_atom_site_fract_y
_atom_site_fract_z
Zr1 Zr 0.0000 0.0000 0.0000
Np1 Np 0.0000 0.2500 0.2500
S1 S 0.0000 0.0000 0.2462
S2 S 0.2500 0.2500 0.2500


[7]
# PBE La14PuCd, optimized geometry
# * calculated volume: 1107.6 Å³ per cell
# * formation energy from the elements: -0.01 eV per atom
data_La14PuCd
_chemical_formula_sum 'La28 Pu2 Cd2'
_space_group_name_H-M_alt 'A m m 2'
_space_group_IT_number 38
_cell_length_a 10.3604
_cell_length_b 10.3429
_cell_length_c 10.3363
_cell_angle_alpha 90.00
_cell_angle_beta 90.00
_cell_angle_gamma 90.00
loop_
_space_group_symop_operation_xyz
'x,y,z'
'-x,-y,z'
'-x,y,z'
'x,-y,z'
'x,y+1/2,z+1/2'
'-x,-y+1/2,z+1/2'
'-x,y+1/2,z+1/2'
'x,-y+1/2,z+1/2'
loop_
_atom_site_label
_atom_site_type_symbol
_atom_site_fract_x
_atom_site_fract_y
_atom_site_fract_z
La1 La 0.0000 0.0000 0.0000
La2 La 0.0000 0.0000 0.4934
La3 La 0.0000 0.2399 0.2494
La4 La 0.2463 0.0000 0.7498
La5 La 0.2618 0.2502 0.4986
La6 La 0.2750 0.0000 0.2482
La7 La 0.5000 0.2320 0.7487
Pu1 Pu 0.5000 0.0000 0.4989
Cd1 Cd 0.5000 0.0000 0.9977


[8]
# PBE Te4PbBr, optimized geometry
# * formation energy from raw total energies: 0.106 eV/atom
# * calculated volume: 743.1 Å³ per cell
data_Te4PbBr
_chemical_formula_sum 'Te16 Pb4 Br4'
_space_group_name_H-M_alt 'F -4 3 m'
_space_group_IT_number 216
_space_group_name_Hall 'F -4 2 3'
_cell_length_a 9.0576
_cell_length_b 9.0576
_cell_length_c 9.0576
_cell_angle_alpha 90.00
_cell_angle_beta 90.00
_cell_angle_gamma 90.00
loop_
_atom_site_label
_atom_site_type_symbol
_atom_site_fract_x
_atom_site_fract_y
_atom_site_fract_z
Te1 Te 0.1251 0.1251 0.1251
Pb1 Pb 0.0000 0.0000 0.5000
Br1 Br 0.2500 0.2500 0.7500


[9]
# PBE Cs2NbTe4Pb, optimized geometry
# * formation energy from raw total energies: -0.568 eV/atom
# * calculated volume: 769.9 Å³ per cell
data_Cs2NbTe4Pb
_chemical_formula_sum 'Cs4 Nb2 Te8 Pb2'
_space_group_name_H-M_alt 'I -4'
_space_group_IT_number 82
_cell_length_a 8.9568
_cell_length_b 8.9568
_cell_length_c 9.5968
_cell_angle_alpha 90.00
_cell_angle_beta 90.00
_cell_angle_gamma 90.00
loop_
_space_group_symop_operation_xyz
'x,y,z'
'y,-x,-z'
'-x,-y,z'
'-y,x,-z'
'x+1/2,y+1/2,z+1/2'
'y+1/2,-x+1/2,-z+1/2'
'-x+1/2,-y+1/2,z+1/2'
'-y+1/2,x+1/2,-z+1/2'
loop_
_atom_site_label
_atom_site_type_symbol
_atom_site_fract_x
_atom_site_fract_y
_atom_site_fract_z
Cs1 Cs 0.0000 0.0000 0.0000
Cs2 Cs 0.0000 0.5000 0.2500
Nb1 Nb 0.0000 0.0000 0.5000
Te1 Te 0.1507 0.2054 0.6424
Pb1 Pb 0.0000 0.5000 0.7500


[10]
# PBE ZrTaSb2, optimized geometry
# * formation energy from raw total energies: -0.119 eV/atom
# * calculated volume: 199.6 Å³ per cell
# * relative energy among the computed polymorphs: 169 meV/atom
data_ZrTaSb2
_chemical_formula_sum 'Zr2 Ta2 Sb4'
_space_group_name_H-M_alt 'C m m 2'
_space_group_IT_number 35
_cell_length_a 3.7739
_cell_length_b 4.9643
_cell_length_c 10.6565
_cell_angle_alpha 90.00
_cell_angle_beta 90.00
_cell_angle_gamma 90.00
loop_
_space_group_symop_operation_xyz
'x,y,z'
'-x,-y,z'
'-x,y,z'
'x,-y,z'
'x+1/2,y+1/2,z'
'-x+1/2,-y+1/2,z'
'-x+1/2,y+1/2,z'
'x+1/2,-y+1/2,z'
loop_
_atom_site_label
_atom_site_type_symbol
_atom_site_fract_x
_atom_site_fract_y
_atom_site_fract_z
Zr1 Zr 0.0000 0.0000 0.0000
Ta1 Ta 0.0000 0.5000 0.7870
Sb1 Sb 0.0000 0.0000 0.5828
Sb2 Sb 0.0000 0.5000 0.2210


[11]
# PBE La7PmNd12, optimized geometry
# * calculated volume: 1538.5 Å³ per cell
# * relative energy among the computed polymorphs: 358 meV/atom
# * formation energy from the elements: 0.55 eV per atom
data_La7PmNd12
_chemical_formula_sum 'La14 Pm2 Nd24'
_space_group_name_H-M_alt 'I m -3'
_space_group_IT_number 204
_space_group_name_Hall '-I 2 2 3'
_cell_length_a 11.5443
_cell_length_b 11.5443
_cell_length_c 11.5443
_cell_angle_alpha 90.00
_cell_angle_beta 90.00
_cell_angle_gamma 90.00
loop_
_atom_site_label
_atom_site_type_symbol
_atom_site_fract_x
_atom_site_fract_y
_atom_site_fract_z
La1 La 0.0000 0.0000 0.5000
La2 La 0.2500 0.2500 0.2500
Pm1 Pm 0.0000 0.0000 0.0000
Nd1 Nd 0.0000 0.2741 0.2190


[12]
# PBE Pr4S5I, optimized geometry
# * formation energy from raw total energies: -1.704 eV/atom
# * calculated volume: 649.1 Å³ per cell
data_Pr4S5I
_chemical_formula_sum 'Pr8 S10 I2'
_space_group_name_H-M_alt 'P m m n'
_space_group_IT_number 59
_cell_length_a 8.6518
_cell_length_b 10.6679
_cell_length_c 7.0323
_cell_angle_alpha 90.00
_cell_angle_beta 90.00
_cell_angle_gamma 90.00
loop_
_space_group_symop_operation_xyz
'x,y,z'
'-x,-y,-z'
'-x+1/2,-y+1/2,z'
'x+1/2,y+1/2,-z'
'x+1/2,-y,-z'
'-x+1/2,y,z'
'-x,y+1/2,-z'
'x,-y+1/2,z'
loop_
_atom_site_label
_atom_site_type_symbol
_atom_site_fract_x
_atom_site_fract_y
_atom_site_fract_z
Pr1 Pr 0.0209 0.2500 0.0117
Pr2 Pr 0.2500 0.0340 0.5042
S1 S 0.0070 0.5537 0.7465
S2 S 0.2500 0.2500 0.7295
I1 I 0.2500 0.7500 0.3124